The following is a DFT calculation (GGA-PBE) of Na2BiH after structural relaxation.

```
Na2BiH
1.0
-3.564 2.602 -5.025
1.795 -5.112 -3.920
-4.359 -3.482 -3.161
Na Bi H
4 2 2
Direct
0.471 0.125 0.250
0.279 0.625 0.250
0.375 0.529 0.750
0.875 0.721 0.750
0.000 0.000 0.000
0.750 0.250 0.500
0.500 0.500 0.000
0.250 0.750 0.500
```

Computed properties:
The total energy comes out at -2.52 eV/atom. The total moment is 0.00 μB per formula unit. Its density of states at the Fermi level is 2.73 states/eV/f.u. For the excess energy over the best structure of this formula in the dataset, the calculation gives 159 meV per atom.